## one
First-principles (PBE-GGA) data for a relaxed structure of AcNb4S8, as listed in Alexandria.

abc: 6.878 6.878 8.098
angles: 99.24 105.78 119.40
Atoms (fractional coordinates):
Ac: 0.000 0.500 0.500
Nb: 0.206 0.206 0.000
Nb: 0.794 0.794 0.000
Nb: 0.231 0.776 0.008
Nb: 0.769 0.224 0.992
S: 0.696 0.011 0.212
S: 0.201 0.516 0.212
S: 0.678 0.495 0.173
S: 0.213 0.031 0.244
S: 0.787 0.969 0.756
S: 0.322 0.505 0.827
S: 0.799 0.484 0.788
S: 0.304 0.989 0.788

Calculated values
Total moment, μB per formula unit: 0.0
Space group: No. 12


## two
First-principles (PBE-GGA) data for a relaxed structure of AcNb4S8, as listed in Alexandria.

abc: 7.442 7.442 7.442
angles: 60.00 60.00 60.00
Atoms (fractional coordinates):
Ac: 0.750 0.750 0.750
Nb: 0.936 0.355 0.355
Nb: 0.355 0.936 0.355
Nb: 0.355 0.355 0.936
Nb: 0.355 0.355 0.355
S: 0.631 0.123 0.123
S: 0.123 0.631 0.123
S: 0.123 0.123 0.631
S: 0.123 0.123 0.123
S: 0.198 0.601 0.601
S: 0.601 0.198 0.601
S: 0.601 0.601 0.198
S: 0.601 0.601 0.601

Calculated values
Total moment, μB per formula unit: 0.0
Space group: No. 216


Which of them is the least stable? Correct choice: two.